No. 1
Compound: Na2SrNbF8
Source: the Alexandria database
Functional: PBE
Structure: optimized geometry

Output
Calculated volume, Å³/cell: 168.4
Formation energy without anion corrections, eV/atom: -3.103

Unit cell a=3.814 b=5.649 c=7.816 alpha=90.00 beta=90.00 gamma=90.11
Each line ends with the local moment (μB).
Positions (direct):
F  0.501  0.203  0.000  -0.01
F  0.999  0.772  0.793  0.01
F  0.501  0.258  0.500  0.00
F  0.499  0.742  0.500  0.00
F  0.001  0.228  0.793  0.01
F  0.499  0.797  0.000  -0.01
F  0.999  0.772  0.207  0.01
F  0.001  0.228  0.207  0.01
Nb  0.000  0.000  0.000  0.90
Na  0.500  0.500  0.741  0.00
Na  0.500  0.500  0.259  0.00
Sr  0.000  0.000  0.500  0.00

No. 2
Compound: Ag2Pd3Pt4
Source: the Alexandria database
Functional: PBE
Structure: optimized geometry

Output
Calculated volume, Å³/cell: 145.2
Formation energy from the elements, eV/atom: 0.026

Unit cell a=2.775 b=2.775 c=21.780 alpha=90.00 beta=90.00 gamma=120.00
Positions (direct):
Pt  0.000  0.000  0.759
Pt  0.667  0.333  0.218
Pt  0.667  0.333  0.434
Pt  0.000  0.000  0.543
Pd  0.667  0.333  0.651
Pd  0.000  0.000  0.326
Pd  0.000  0.000  0.982
Ag  0.667  0.333  0.092
Ag  0.667  0.333  0.871

No. 3
Compound: Dy3TmSc4
Source: the Alexandria database
Functional: PBE
Structure: optimized geometry

Output
Calculated volume, Å³/cell: 446.7
Formation energy from the elements, eV/atom: 0.025

Unit cell a=5.998 b=6.926 c=10.754 alpha=90.00 beta=90.00 gamma=90.00
Positions (direct):
Dy  0.644  0.633  0.000
Dy  0.485  0.367  0.250
Dy  0.144  0.367  0.500
Dy  0.485  0.367  0.750
Dy  0.985  0.633  0.250
Dy  0.985  0.633  0.750
Tm  0.143  0.366  0.000
Tm  0.643  0.634  0.500
Sc  0.151  0.883  0.500
Sc  0.978  0.117  0.751
Sc  0.151  0.883  0.000
Sc  0.978  0.117  0.249
Sc  0.651  0.117  0.500
Sc  0.478  0.883  0.749
Sc  0.651  0.117  0.000
Sc  0.478  0.883  0.251